{"formula": "PmIr2Rh", "functional": "PBE", "state": "relaxed", "relative_energy_mev_per_atom": 54, "volume_a3_per_atom": 21.02, "lattice_angstrom": [[2.2343, 1.2899, 4.8625], [-2.2343, 1.2899, 4.8625], [0.0000, -2.5799, 4.8625]], "species": ["Pm", "Ir", "Ir", "Rh"], "frac_coords": [[0.0000, 0.0000, 0.0000], [0.1911, 0.1911, 0.1911], [0.8089, 0.8089, 0.8089], [0.5000, 0.5000, 0.5000]]}